Entry 1:
A plane-wave DFT calculation with PBE was carried out for a relaxed CdMo2Ru crystal.

Summary:
electronic total energy: -0.283 Ha/atom
mass density: 10.19 g/cm³
energy relative to the elements: 273 meV per atom

Cell lengths 2.769, 2.769, 9.169 Å; angles 90.00, 90.00, 109.94 degrees
Atoms (fractional coordinates):
Ru1 0.000 0.000 0.481
Cd1 0.500 0.500 0.745
Mo1 0.000 0.000 0.019
Mo2 0.500 0.500 0.255

***

Entry 2:
A plane-wave DFT calculation with PBE was carried out for a relaxed CdMo2Ru crystal.

Summary:
electronic total energy: -0.278 Ha/atom
mass density: 10.43 g/cm³
energy relative to the elements: 408 meV per atom

Cell lengths 5.131, 5.131, 5.131 Å; angles 135.90, 135.90, 64.14 degrees
Atoms (fractional coordinates):
Mo1 0.000 0.000 0.000
Cd1 0.750 0.250 0.500
Ru1 0.250 0.750 0.500
Mo2 0.500 0.500 0.000